A relaxed structure of NbSi2Bi. Source: Alexandria, functional PBE-GGA.

abc: 6.169 6.169 11.973
angles: 90.00 90.00 90.00
Element x y z (fractional)
Nb1 0.000 0.000 0.000
Nb2 0.000 0.500 0.250
Nb3 0.500 0.000 0.750
Nb4 0.500 0.500 0.500
Si1 0.211 0.250 0.125
Si2 0.250 0.711 0.375
Si3 0.250 0.789 0.875
Si4 0.289 0.250 0.625
Si5 0.711 0.750 0.625
Si6 0.750 0.211 0.875
Si7 0.750 0.289 0.375
Si8 0.789 0.750 0.125
Bi1 0.000 0.000 0.500
Bi2 0.000 0.500 0.750
Bi3 0.500 0.000 0.250
Bi4 0.500 0.500 0.000

Its total magnetic moment is 0.00 Bohr magnetons per cell. The raw total energy comes out at -5.521 eV/atom.

***

A relaxed structure of Nb2SiBi. Source: Alexandria, functional PBE-GGA.

abc: 4.122 4.122 19.664
angles: 90.00 90.00 90.00
Element x y z (fractional)
Nb1 0.222 0.250 0.125
Nb2 0.250 0.722 0.375
Nb3 0.250 0.778 0.875
Nb4 0.278 0.250 0.625
Nb5 0.722 0.750 0.625
Nb6 0.750 0.222 0.875
Nb7 0.750 0.278 0.375
Nb8 0.778 0.750 0.125
Si1 0.000 0.000 0.000
Si2 0.000 0.500 0.250
Si3 0.500 0.000 0.750
Si4 0.500 0.500 0.500
Bi1 0.000 0.000 0.500
Bi2 0.000 0.500 0.750
Bi3 0.500 0.000 0.250
Bi4 0.500 0.500 0.000

Its total magnetic moment is 0.00 Bohr magnetons per cell. For the relative energy among the computed polymorphs, the calculation gives 266 meV per atom.

***

A relaxed structure of Nb2SiBi. Source: Alexandria, functional PBE-GGA.

abc: 6.701 6.701 6.701
angles: 90.00 90.00 90.00
Element x y z (fractional)
Nb1 0.250 0.250 0.250
Nb2 0.250 0.250 0.750
Nb3 0.250 0.750 0.250
Nb4 0.250 0.750 0.750
Nb5 0.750 0.250 0.250
Nb6 0.750 0.250 0.750
Nb7 0.750 0.750 0.250
Nb8 0.750 0.750 0.750
Si1 0.000 0.000 0.000
Si2 0.000 0.500 0.500
Si3 0.500 0.000 0.500
Si4 0.500 0.500 0.000
Bi1 0.000 0.000 0.500
Bi2 0.000 0.500 0.000
Bi3 0.500 0.000 0.000
Bi4 0.500 0.500 0.500

Its total magnetic moment is 0.00 Bohr magnetons per cell. For the relative energy among the computed polymorphs, the calculation gives 0 meV per atom.

***

A relaxed structure of Nb2SiSnBi. Source: Alexandria, functional PBE-GGA.

abc: 5.343 5.343 5.688
angles: 90.00 90.00 90.00
Element x y z (fractional)
Nb1 0.000 0.500 0.000
Nb2 0.500 0.000 0.000
Si1 0.000 0.000 0.500
Sn1 0.500 0.500 0.500
Bi1 0.500 0.500 0.000

Its total magnetic moment is 4.41 Bohr magnetons per cell. The raw total energy comes out at -4.750 eV/atom.

***

A relaxed structure of NbVSiBi2. Source: Alexandria, functional PBE-GGA.

abc: 5.335 5.335 4.467
angles: 90.00 90.00 90.00
Element x y z (fractional)
Nb1 0.000 0.000 0.000
V1 0.500 0.500 0.000
Si1 0.500 0.500 0.500
Bi1 0.000 0.500 0.500
Bi2 0.500 0.000 0.500

Its total magnetic moment is 3.58 Bohr magnetons per cell. The raw total energy comes out at -5.315 eV/atom.

***

A relaxed structure of Nb2VSiBi. Source: Alexandria, functional PBE-GGA.

abc: 4.683 4.683 5.244
angles: 90.00 90.00 90.00
Element x y z (fractional)
Nb1 0.000 0.500 0.000
Nb2 0.500 0.000 0.000
V1 0.000 0.000 0.500
Si1 0.500 0.500 0.000
Bi1 0.500 0.500 0.500

Its total magnetic moment is 0.00 Bohr magnetons per cell. The raw total energy comes out at -6.477 eV/atom.

***

A relaxed structure of NbSiBiW2. Source: Alexandria, functional PBE-GGA.

abc: 4.536 4.536 5.189
angles: 90.00 90.00 90.00
Element x y z (fractional)
Nb1 0.000 0.000 0.000
Si1 0.500 0.500 0.500
Bi1 0.500 0.500 0.000
W1 0.000 0.500 0.500
W2 0.500 0.000 0.500

Its total magnetic moment is 0.00 Bohr magnetons per cell. The raw total energy comes out at -7.527 eV/atom.

***

A relaxed structure of Zr2NbSiBi. Source: Alexandria, functional PBE-GGA.

abc: 5.363 5.363 5.160
angles: 90.00 90.00 90.00
Element x y z (fractional)
Zr1 0.000 0.500 0.000
Zr2 0.500 0.000 0.000
Nb1 0.000 0.000 0.500
Si1 0.500 0.500 0.500
Bi1 0.000 0.000 0.000

Its total magnetic moment is 1.55 Bohr magnetons per cell. The raw total energy comes out at -5.762 eV/atom.

***

A relaxed structure of SmNbBi. Source: Alexandria, functional PBE-GGA.

abc: 3.645 3.645 11.725
angles: 90.00 90.00 90.00
Element x y z (fractional)
Sm1 0.250 0.250 0.109
Sm2 0.750 0.750 0.891
Nb1 0.250 0.250 0.441
Nb2 0.750 0.750 0.559
Bi1 0.250 0.250 0.700
Bi2 0.750 0.750 0.300

Its total magnetic moment is 0.00 Bohr magnetons per cell. The value obtained for the formation enthalpy at 0 K is -0.111 eV/atom.

***

A relaxed structure of Nb2SnBi. Source: Alexandria, functional PBE-GGA.

abc: 4.279 4.279 20.532
angles: 90.00 90.00 90.00
Element x y z (fractional)
Nb1 0.223 0.250 0.125
Nb2 0.250 0.723 0.375
Nb3 0.250 0.777 0.875
Nb4 0.277 0.250 0.625
Nb5 0.723 0.750 0.625
Nb6 0.750 0.223 0.875
Nb7 0.750 0.277 0.375
Nb8 0.777 0.750 0.125
Sn1 0.000 0.000 0.000
Sn2 0.000 0.500 0.250
Sn3 0.500 0.000 0.750
Sn4 0.500 0.500 0.500
Bi1 0.000 0.000 0.500
Bi2 0.000 0.500 0.750
Bi3 0.500 0.000 0.250
Bi4 0.500 0.500 0.000

Its total magnetic moment is 0.00 Bohr magnetons per cell. For the relative energy among the computed polymorphs, the calculation gives 295 meV per atom. The value obtained for the formation enthalpy at 0 K is 0.514 eV/atom.

***

A relaxed structure of NbSnBi. Source: Alexandria, functional PBE-GGA.

abc: 7.531 7.531 7.244
angles: 90.00 90.00 132.78
Element x y z (fractional)
Nb1 0.106 0.894 0.904
Nb2 0.394 0.606 0.404
Nb3 0.606 0.394 0.596
Nb4 0.894 0.106 0.096
Sn1 0.206 0.794 0.573
Sn2 0.294 0.706 0.073
Sn3 0.706 0.294 0.927
Sn4 0.794 0.206 0.427
Bi1 0.189 0.311 0.750
Bi2 0.311 0.189 0.250
Bi3 0.689 0.811 0.750
Bi4 0.811 0.689 0.250

Its total magnetic moment is 0.00 Bohr magnetons per cell. The value obtained for the formation enthalpy at 0 K is 0.159 eV/atom.

***

A relaxed structure of NbSn3Bi. Source: Alexandria, functional PBE-GGA.

abc: 5.426 5.426 5.426
angles: 90.00 90.00 90.00
Element x y z (fractional)
Nb1 0.000 0.000 0.000
Sn1 0.000 0.000 0.500
Sn2 0.000 0.500 0.000
Sn3 0.500 0.000 0.000
Bi1 0.500 0.500 0.500

Its total magnetic moment is 0.40 Bohr magnetons per cell. For the relative energy among the computed polymorphs, the calculation gives 0 meV per atom. The value obtained for the formation enthalpy at 0 K is 0.462 eV/atom.

***

A relaxed structure of Nb2Sn2Bi. Source: Alexandria, functional PBE-GGA.

abc: 7.622 7.622 3.872
angles: 90.00 90.00 90.00
Element x y z (fractional)
Nb1 0.142 0.358 0.000
Nb2 0.358 0.858 0.000
Nb3 0.642 0.142 0.000
Nb4 0.858 0.642 0.000
Sn1 0.151 0.651 0.500
Sn2 0.349 0.151 0.500
Sn3 0.651 0.849 0.500
Sn4 0.849 0.349 0.500
Bi1 0.000 0.000 0.000
Bi2 0.500 0.500 0.000

Its total magnetic moment is 0.00 Bohr magnetons per cell. For the relative energy among the computed polymorphs, the calculation gives 0 meV per atom. The value obtained for the formation enthalpy at 0 K is 0.114 eV/atom.

***

A relaxed structure of Nb2SnBi. Source: Alexandria, functional PBE-GGA.

abc: 6.940 6.940 6.940
angles: 90.00 90.00 90.00
Element x y z (fractional)
Nb1 0.250 0.250 0.250
Nb2 0.250 0.250 0.750
Nb3 0.250 0.750 0.250
Nb4 0.250 0.750 0.750
Nb5 0.750 0.250 0.250
Nb6 0.750 0.250 0.750
Nb7 0.750 0.750 0.250
Nb8 0.750 0.750 0.750
Sn1 0.000 0.000 0.000
Sn2 0.000 0.500 0.500
Sn3 0.500 0.000 0.500
Sn4 0.500 0.500 0.000
Bi1 0.000 0.000 0.500
Bi2 0.000 0.500 0.000
Bi3 0.500 0.000 0.000
Bi4 0.500 0.500 0.500

Its total magnetic moment is 0.00 Bohr magnetons per cell. For the relative energy among the computed polymorphs, the calculation gives 0 meV per atom. The value obtained for the formation enthalpy at 0 K is 0.220 eV/atom.

***

A relaxed structure of Nb2Sn2Bi. Source: Alexandria, functional PBE-GGA.

abc: 8.019 8.019 3.545
angles: 90.00 90.00 90.00
Element x y z (fractional)
Nb1 0.153 0.347 0.000
Nb2 0.347 0.847 0.000
Nb3 0.653 0.153 0.000
Nb4 0.847 0.653 0.000
Sn1 0.137 0.637 0.500
Sn2 0.363 0.137 0.500
Sn3 0.637 0.863 0.500
Sn4 0.863 0.363 0.500
Bi1 0.000 0.000 0.500
Bi2 0.500 0.500 0.500

Its total magnetic moment is 0.01 Bohr magnetons per cell. For the relative energy among the computed polymorphs, the calculation gives 207 meV per atom. The value obtained for the formation enthalpy at 0 K is 0.321 eV/atom.

***

A relaxed structure of Nb2TlSnBi. Source: Alexandria, functional PBE-GGA.

abc: 5.317 5.317 5.650
angles: 90.00 90.00 90.00
Element x y z (fractional)
Nb1 0.000 0.500 0.000
Nb2 0.500 0.000 0.000
Tl1 0.000 0.000 0.000
Sn1 0.500 0.500 0.500
Bi1 0.000 0.000 0.500

Its total magnetic moment is 3.96 Bohr magnetons per cell. The value obtained for the formation enthalpy at 0 K is 1.642 eV/atom.

***

A relaxed structure of NbSnBiW2. Source: Alexandria, functional PBE-GGA.

abc: 4.936 4.936 5.416
angles: 90.00 90.00 90.00
Element x y z (fractional)
Nb1 0.000 0.000 0.000
Sn1 0.500 0.500 0.500
Bi1 0.500 0.500 0.000
W1 0.000 0.500 0.500
W2 0.500 0.000 0.500

Its total magnetic moment is 0.00 Bohr magnetons per cell. The value obtained for the formation enthalpy at 0 K is 2.570 eV/atom.

***

A relaxed structure of Sr3NbBi. Source: Alexandria, functional PBE-GGA.

abc: 5.794 5.794 5.794
angles: 90.00 90.00 90.00
Element x y z (fractional)
Sr1 0.000 0.000 0.500
Sr2 0.000 0.500 0.000
Sr3 0.500 0.000 0.000
Nb1 0.000 0.000 0.000
Bi1 0.500 0.500 0.500

Its total magnetic moment is 0.00 Bohr magnetons per cell. For the relative energy among the computed polymorphs, the calculation gives 107 meV per atom. The value obtained for the formation enthalpy at 0 K is 0.683 eV/atom.

***

A relaxed structure of SrNbBi2. Source: Alexandria, functional PBE-GGA.

abc: 8.380 8.380 7.288
angles: 90.00 90.00 90.00
Element x y z (fractional)
Sr1 0.000 0.000 0.000
Sr2 0.000 0.500 0.250
Sr3 0.500 0.000 0.750
Sr4 0.500 0.500 0.500
Nb1 0.000 0.000 0.500
Nb2 0.000 0.500 0.750
Nb3 0.500 0.000 0.250
Nb4 0.500 0.500 0.000
Bi1 0.207 0.250 0.625
Bi2 0.250 0.707 0.875
Bi3 0.250 0.793 0.375
Bi4 0.293 0.250 0.125
Bi5 0.707 0.750 0.125
Bi6 0.750 0.207 0.375
Bi7 0.750 0.293 0.875
Bi8 0.793 0.750 0.625

Its total magnetic moment is 3.94 Bohr magnetons per cell. For the relative energy among the computed polymorphs, the calculation gives 69 meV per atom. The value obtained for the formation enthalpy at 0 K is 0.083 eV/atom.

***

A relaxed structure of SrNb2Bi. Source: Alexandria, functional PBE-GGA.

abc: 8.541 8.541 5.995
angles: 90.00 90.00 90.00
Element x y z (fractional)
Sr1 0.000 0.000 0.000
Sr2 0.000 0.500 0.250
Sr3 0.500 0.000 0.750
Sr4 0.500 0.500 0.500
Nb1 0.204 0.250 0.625
Nb2 0.250 0.704 0.875
Nb3 0.250 0.796 0.375
Nb4 0.296 0.250 0.125
Nb5 0.704 0.750 0.125
Nb6 0.750 0.204 0.375
Nb7 0.750 0.296 0.875
Nb8 0.796 0.750 0.625
Bi1 0.000 0.000 0.500
Bi2 0.000 0.500 0.750
Bi3 0.500 0.000 0.250
Bi4 0.500 0.500 0.000

Its total magnetic moment is 0.00 Bohr magnetons per cell. The value obtained for the formation enthalpy at 0 K is 0.953 eV/atom.

***

A relaxed structure of Sr2NbBi. Source: Alexandria, functional PBE-GGA.

abc: 9.100 9.100 6.670
angles: 90.00 90.00 90.00
Element x y z (fractional)
Sr1 0.249 0.250 0.125
Sr2 0.250 0.749 0.375
Sr3 0.250 0.751 0.875
Sr4 0.251 0.250 0.625
Sr5 0.749 0.750 0.625
Sr6 0.750 0.249 0.875
Sr7 0.750 0.251 0.375
Sr8 0.751 0.750 0.125
Nb1 0.000 0.000 0.000
Nb2 0.000 0.500 0.250
Nb3 0.500 0.000 0.750
Nb4 0.500 0.500 0.500
Bi1 0.000 0.000 0.500
Bi2 0.000 0.500 0.750
Bi3 0.500 0.000 0.250
Bi4 0.500 0.500 0.000

Its total magnetic moment is 14.75 Bohr magnetons per cell. The value obtained for the formation enthalpy at 0 K is 0.595 eV/atom.

***

A relaxed structure of SrNbBi2. Source: Alexandria, functional PBE-GGA.

abc: 3.703 3.703 32.924
angles: 90.00 90.00 120.00
Element x y z (fractional)
Sr1 0.000 0.000 0.000
Sr2 0.333 0.667 0.667
Sr3 0.667 0.333 0.333
Nb1 0.000 0.000 0.500
Nb2 0.333 0.667 0.167
Nb3 0.667 0.333 0.833
Bi1 0.000 0.000 0.105
Bi2 0.000 0.000 0.895
Bi3 0.333 0.667 0.562
Bi4 0.333 0.667 0.771
Bi5 0.667 0.333 0.229
Bi6 0.667 0.333 0.438

Its total magnetic moment is 0.66 Bohr magnetons per cell. For the relative energy among the computed polymorphs, the calculation gives 138 meV per atom. The value obtained for the formation enthalpy at 0 K is 0.152 eV/atom.

***

A relaxed structure of SrNbBi2. Source: Alexandria, functional PBE-GGA.

abc: 7.633 7.633 7.633
angles: 90.00 90.00 90.00
Element x y z (fractional)
Sr1 0.000 0.000 0.000
Sr2 0.000 0.500 0.500
Sr3 0.500 0.000 0.500
Sr4 0.500 0.500 0.000
Nb1 0.000 0.000 0.500
Nb2 0.000 0.500 0.000
Nb3 0.500 0.000 0.000
Nb4 0.500 0.500 0.500
Bi1 0.250 0.250 0.250
Bi2 0.250 0.250 0.750
Bi3 0.250 0.750 0.250
Bi4 0.250 0.750 0.750
Bi5 0.750 0.250 0.250
Bi6 0.750 0.250 0.750
Bi7 0.750 0.750 0.250
Bi8 0.750 0.750 0.750

Its total magnetic moment is 7.98 Bohr magnetons per cell. For the relative energy among the computed polymorphs, the calculation gives 0 meV per atom. The value obtained for the formation enthalpy at 0 K is 0.014 eV/atom.

***

A relaxed structure of Sr4Nb2Bi. Source: Alexandria, functional PBE-GGA.

abc: 6.627 6.627 15.502
angles: 90.00 90.00 90.00
Element x y z (fractional)
Sr1 0.000 0.000 0.209
Sr2 0.000 0.000 0.791
Sr3 0.000 0.500 0.000
Sr4 0.000 0.500 0.500
Sr5 0.500 0.000 0.000
Sr6 0.500 0.000 0.500
Sr7 0.500 0.500 0.291
Sr8 0.500 0.500 0.709
Nb1 0.000 0.000 0.431
Nb2 0.000 0.000 0.569
Nb3 0.500 0.500 0.069
Nb4 0.500 0.500 0.931
Bi1 0.000 0.000 0.000
Bi2 0.500 0.500 0.500

Its total magnetic moment is 0.03 Bohr magnetons per cell. The value obtained for the formation enthalpy at 0 K is 0.563 eV/atom.

***

A relaxed structure of Sr3NbBi. Source: Alexandria, functional PBE-GGA.

abc: 6.299 6.299 6.299
angles: 90.00 90.00 90.00
Element x y z (fractional)
Sr1 0.000 0.000 0.500
Sr2 0.000 0.500 0.000
Sr3 0.500 0.000 0.000
Nb1 0.500 0.500 0.500
Bi1 0.000 0.000 0.000

Its total magnetic moment is 5.75 Bohr magnetons per cell. For the relative energy among the computed polymorphs, the calculation gives 0 meV per atom. The value obtained for the formation enthalpy at 0 K is 0.577 eV/atom.

***

A relaxed structure of SrNb2BiTe. Source: Alexandria, functional PBE-GGA.

abc: 5.151 5.151 6.078
angles: 90.00 90.00 90.00
Element x y z (fractional)
Sr1 0.000 0.000 0.000
Nb1 0.000 0.500 0.500
Nb2 0.500 0.000 0.500
Bi1 0.500 0.500 0.000
Te1 0.500 0.500 0.500

Its total magnetic moment is 0.01 Bohr magnetons per cell. The raw total energy comes out at -4.938 eV/atom.

***

A relaxed structure of TaNbBi. Source: Alexandria, functional PBE-GGA.

abc: 9.271 2.940 11.569
angles: 90.00 110.29 90.00
Element x y z (fractional)
Ta1 0.243 0.000 0.196
Ta2 0.257 0.500 0.804
Ta3 0.743 0.500 0.196
Ta4 0.757 0.000 0.804
Nb1 0.093 0.000 0.932
Nb2 0.407 0.500 0.068
Nb3 0.593 0.500 0.932
Nb4 0.907 0.000 0.068
Bi1 0.037 0.000 0.358
Bi2 0.463 0.500 0.642
Bi3 0.537 0.500 0.358
Bi4 0.963 0.000 0.642

Its total magnetic moment is 0.00 Bohr magnetons per cell. For the relative energy among the computed polymorphs, the calculation gives 246 meV per atom. The value obtained for the formation enthalpy at 0 K is 0.513 eV/atom.

***

no.,DOS(E_F) (states/eV per cell)
1,6.8
2,16.7
3,12.6
4,6.1
5,10.0
6,11.1
7,3.0
8,6.4
9,5.5
10,15.6
11,6.6
12,6.0
13,6.4
14,13.0
15,12.6
16,7.1
17,5.1
18,6.6
19,6.6
20,17.0
21,16.7
22,10.2
23,9.7
24,19.1
25,1.9
26,7.9
27,10.7